This record from the Alexandria database describes crystalline Si2MoIr at its relaxed geometry. The functional is PBE-GGA.

a b c (Å): 5.4830 5.4830 5.4830
angles (deg): 106.79 106.79 114.98
Closest atoms and distances in Å follow each position.
Atoms (fractional coordinates):
Si (0.1013, 0.6250, 0.9763)  2 Ir 2.33, 2 Mo 2.53
Si (0.3750, 0.3513, 0.4763)  2 Ir 2.33, 2 Mo 2.53
Si (0.6487, 0.1250, 0.0237)  2 Ir 2.33, 2 Mo 2.53
Si (0.8750, 0.8987, 0.5237)  2 Ir 2.33, 2 Mo 2.53
Mo (0.2500, 0.7500, 0.5000)  4 Si 2.53
Mo (0.5000, 0.5000, 0.0000)  4 Si 2.53
Ir (0.0000, 0.0000, 0.0000)  4 Si 2.33
Ir (0.7500, 0.2500, 0.5000)  4 Si 2.33

Output
- DFT total energy: -7.452 eV/atom
- Volume: 15.75 Å³/atom
- Symmetry: No. 122
- N(E_F): 1.018 states/eV per atom